10
Lattice="-5.0353 0.4749 -4.1714 1.2973 -6.0191 -2.2511 -1.6609 -1.0625 1.8839" Properties=species:S:1:pos:R:3 comment="Li2Cu2Ni (PBE, relaxed)" total_magnetization_mub_per_cell=0.00 final_energy_ev_per_atom=-3.394 relative_energy_ev_per_atom=0.193 delta_e_f_ev_per_atom=0.167 pbc="T T T"
Ni 0.0000 0.0000 0.0000
Ni -1.8690 -2.7721 -3.2113
Cu -0.8442 -4.5233 -1.3217
Cu -3.1730 -5.1621 -3.7352
Cu -4.5547 -2.0835 -3.2169
Cu -2.2259 -1.4446 -0.8035
Li -0.7459 -5.0779 -3.5216
Li -3.5828 -3.3589 -5.0533
Li -2.9921 -0.4663 -2.9009
Li -0.1552 -2.1853 -1.3693

10
Lattice="4.7833 0.3851 0.3909 2.5051 4.0931 0.3909 1.6141 0.9917 6.4217" Properties=species:S:1:pos:R:3 comment="Li2CuNi2 (PBE, relaxed)" total_magnetization_mub_per_cell=0.00 final_energy_ev_per_atom=-3.873 relative_energy_ev_per_atom=0.012 delta_e_f_ev_per_atom=0.024 pbc="T T T"
Li 2.7951 0.8745 1.1938
Li 6.0523 2.8758 2.7988
Li 6.1075 4.5954 6.0097
Li 2.8503 2.5941 4.4046
Cu 3.6244 3.1760 1.9963
Cu 5.2781 2.2939 5.2072
Ni 4.4272 1.0832 3.1594
Ni 5.1286 1.5141 0.8332
Ni 4.4753 4.3867 4.0440
Ni 3.7740 3.9557 6.3703

12
Lattice="4.7266 0.0000 0.0000 -2.3633 4.0933 0.0000 0.0000 0.0000 7.8906" Properties=species:S:1:pos:R:3 comment="Li2CuNi3 (PBE, relaxed)" total_magnetization_mub_per_cell=1.57 final_energy_ev_per_atom=-4.214 delta_e_f_ev_per_atom=-0.002 pbc="T T T"
Li 2.3633 1.3644 3.4276
Li 0.0000 2.7289 4.4630
Li 0.0000 2.7289 7.3729
Li 2.3633 1.3644 0.5177
Cu 0.0000 0.0000 3.9453
Cu 0.0000 0.0000 0.0000
Ni 0.0000 1.3890 1.9727
Ni 1.2029 0.6945 5.9180
Ni 2.3633 2.7044 5.9180
Ni -1.1604 3.3989 1.9727
Ni 3.5237 0.6945 5.9180
Ni 1.1604 3.3989 1.9727

20
Lattice="-1.9467 0.3275 -3.7711 -4.1941 -5.2084 1.7127 -5.5228 5.5430 3.3323" Properties=species:S:1:pos:R:3 comment="LiCu4Ni5 (PBE, relaxed)" total_magnetization_mub_per_cell=3.48 final_energy_ev_per_atom=-4.561 relative_energy_ev_per_atom=0.000 delta_e_f_ev_per_atom=0.160 pbc="T T T"
Li -1.8564 0.3123 -3.5962
Li -4.9487 0.1825 2.3477
Cu -5.0615 3.8740 -0.6137
Cu -4.2705 -4.0368 -0.3629
Cu -1.7200 -0.8695 -1.4044
Cu -3.3486 2.1547 -1.6472
Cu -3.4566 -1.6600 0.3987
Cu -6.7287 -0.6769 0.8270
Cu -5.0851 1.3642 0.1558
Cu -7.2664 2.1638 2.6974
Ni -8.0166 -0.1425 2.9581
Ni -5.2697 3.2689 1.8363
Ni -3.5969 -2.3519 -2.0491
Ni -5.3936 -2.7751 1.3755
Ni -2.6466 0.6362 0.2537
Ni -5.6056 -1.9386 -0.9113
Ni -4.1585 -0.1415 -1.5022
Ni -3.2083 2.8467 0.8005
Ni -7.0583 2.7689 0.2474
Ni -8.5054 0.9718 0.8384

5
Lattice="4.2262 -0.5480 0.4901 -1.2770 5.9970 -2.6846 0.9547 -1.6664 3.0354" Properties=species:S:1:pos:R:3 comment="LiCuNi3 (PBE, relaxed)" total_magnetization_mub_per_cell=0.94 final_energy_ev_per_atom=-4.648 relative_energy_ev_per_atom=0.000 delta_e_f_ev_per_atom=0.022 pbc="T T T"
Li 4.1591 -0.1019 1.9770
Cu 2.1660 -0.0708 0.4969
Ni 2.9991 2.0879 1.4188
Ni -0.1437 4.2476 -0.6556
Ni 0.9754 2.1193 -0.0508

5
Lattice="-1.8874 -2.7790 2.8771 3.1655 -2.9825 -0.8043 2.4454 1.7159 3.2617" Properties=species:S:1:pos:R:3 comment="Li3CuNi (PBE, relaxed)" total_magnetization_mub_per_cell=0.00 final_energy_ev_per_atom=-2.629 relative_energy_ev_per_atom=0.496 delta_e_f_ev_per_atom=0.495 pbc="T T T"
Ni 0.0000 0.0000 0.0000
Cu 1.8618 -2.0228 2.6672
Li 1.5828 -1.4913 -0.4021
Li 1.2227 0.8580 1.6308
Li -0.9437 -1.3895 1.4385

12
Lattice="-4.1429 0.7455 0.2533 -1.6836 1.0592 4.1901 -1.6419 8.9085 0.1727" Properties=species:S:1:pos:R:3 comment="Li5Cu5Ni2 (PBE, relaxed)" total_magnetization_mub_per_cell=0.00 final_energy_ev_per_atom=-3.492 delta_e_f_ev_per_atom=-0.024 pbc="T T T"
Li -3.7342 5.3566 2.3081
Li -3.5731 9.5127 1.7304
Li -3.6451 3.5058 3.9897
Li -3.8233 7.2074 0.6264
Li -3.8953 1.2005 2.8857
Cu -5.6640 5.9925 3.7282
Cu -3.5665 7.6317 3.4032
Cu -3.9019 3.0815 1.2129
Cu -1.8044 4.7207 0.8879
Cu 0.0000 0.0000 0.0000
Ni -5.7573 7.7984 2.0587
Ni -1.7112 2.9148 2.5574

12
Lattice="-0.1494 3.8925 2.7643 0.1886 -0.4416 4.7523 8.0814 1.6602 2.2439" Properties=species:S:1:pos:R:3 comment="Li2Cu9Ni (PBE, relaxed)" total_magnetization_mub_per_cell=0.00 final_energy_ev_per_atom=-3.766 delta_e_f_ev_per_atom=0.107 pbc="T T T"
Li 4.6337 1.4424 2.3557
Li 3.4870 3.6687 7.4048
Cu 0.0158 1.1527 2.5095
Cu 8.1049 3.9584 7.2510
Cu 4.0603 2.5555 4.8803
Cu 6.0665 3.2623 6.0743
Cu 5.9754 3.4806 3.6833
Cu 6.1458 1.3032 4.6858
Cu 2.0542 1.8488 3.6863
Cu 1.9748 3.8079 5.0747
Cu 2.1453 1.6305 6.0772
Ni 0.0000 0.0000 0.0000